Compound: TbNdSn2
Source: Alexandria via LeMat-Bulk
Functional: PBE
Structure: optimized geometry

Cell lengths 8.8314, 8.8314, 8.8314 Å; angles 26.85, 26.85, 26.85 degrees
Last column: nearest neighbours and their distance in Å.
Fractional coordinates of all 4 atoms:
Tb 0.0000 0.0000 0.0000  6 Sn 3.15
Nd 0.5000 0.5000 0.5000  6 Sn 3.22
Sn 0.2521 0.2521 0.2521  3 Tb 3.15, 3 Nd 3.22
Sn 0.7479 0.7479 0.7479  3 Tb 3.15, 3 Nd 3.22

Computed properties:
SG = R-3m
ΔE_f = -0.5407 eV per atom